{"formula": "PrY4In4", "functional": "PBE", "state": "relaxed", "lattice": [[-3.589, -1.650, 4.490], [-1.404, -8.231, -4.147], [7.325, -3.543, 4.552]], "species": ["Pr", "Pr", "Y", "Y", "Y", "Y", "Y", "Y", "Y", "Y", "In", "In", "In", "In", "In", "In", "In", "In"], "frac_coords": [[0.000, 0.000, 0.000], [0.500, 0.500, 0.500], [0.388, 0.426, 0.840], [0.888, 0.660, 0.926], [0.388, 0.574, 0.160], [0.112, 0.074, 0.660], [0.612, 0.840, 0.574], [0.112, 0.926, 0.340], [0.888, 0.340, 0.074], [0.612, 0.160, 0.426], [0.598, 0.895, 0.210], [0.598, 0.105, 0.790], [0.098, 0.710, 0.605], [0.902, 0.395, 0.710], [0.902, 0.605, 0.290], [0.402, 0.210, 0.105], [0.402, 0.790, 0.895], [0.098, 0.290, 0.395]], "energy_ev_per_fu": -44.1, "spacegroup": "P4_2/n (86)"}

{"formula": "HfSc3Pt4", "functional": "PBE", "state": "relaxed", "lattice": [[-1.889, 1.635, 2.012], [-2.070, -4.052, 1.348], [6.482, -1.013, 6.907]], "species": ["Sc", "Sc", "Sc", "Hf", "Pt", "Pt", "Pt", "Pt"], "frac_coords": [[0.500, 0.000, 0.254], [0.500, 0.500, 0.500], [0.500, 0.000, 0.746], [0.500, 0.500, 0.000], [0.000, 0.000, 0.500], [0.000, 0.500, 0.757], [0.000, 0.000, 0.000], [0.000, 0.500, 0.243]], "energy_ev_per_fu": -62.6, "spacegroup": "Pmmm (47)"}

{"formula": "LiLaMg2Cd4", "functional": "PBE", "state": "relaxed", "lattice": [[4.931, 0.000, 0.000], [2.466, 4.271, 0.000], [2.466, 1.424, 8.880]], "species": ["Li", "La", "Mg", "Mg", "Cd", "Cd", "Cd", "Cd"], "frac_coords": [[0.500, 0.500, 0.500], [0.000, 0.000, 0.000], [0.754, 0.754, 0.738], [0.246, 0.246, 0.262], [0.393, 0.393, 0.822], [0.869, 0.869, 0.394], [0.131, 0.131, 0.606], [0.607, 0.607, 0.178]], "energy_ev_per_fu": -15.6, "spacegroup": "R-3m (166)"}

{"formula": "Y5TlNi", "functional": "PBE", "state": "relaxed", "lattice": [[-2.581, 0.054, -6.002], [-5.942, -2.617, -0.730], [-7.283, 8.643, -0.264]], "species": ["Y", "Y", "Y", "Y", "Y", "Y", "Y", "Y", "Y", "Y", "Tl", "Tl", "Ni", "Ni"], "frac_coords": [[0.958, 0.600, 0.138], [0.206, 0.552, 0.544], [0.600, 0.958, 0.638], [0.989, 0.011, 0.250], [0.448, 0.794, 0.956], [0.552, 0.206, 0.044], [0.011, 0.989, 0.750], [0.400, 0.042, 0.362], [0.794, 0.448, 0.456], [0.042, 0.400, 0.862], [0.472, 0.528, 0.250], [0.528, 0.472, 0.750], [0.000, 0.000, 0.000], [0.000, 0.000, 0.500]], "energy_ev_per_fu": -41.2, "spacegroup": "C2/c (15)"}

{"formula": "LiSm2ZnRh2", "functional": "PBE", "state": "relaxed", "lattice": [[5.643, 0.000, 0.000], [0.000, 5.687, 0.000], [-2.821, -2.844, 7.413]], "species": ["Li", "Li", "Sm", "Sm", "Sm", "Sm", "Zn", "Zn", "Rh", "Rh", "Rh", "Rh"], "frac_coords": [[0.000, 0.750, 0.000], [0.000, 0.250, 0.000], [0.419, 0.169, 0.339], [0.581, 0.831, 0.661], [0.080, 0.331, 0.661], [0.920, 0.669, 0.339], [0.500, 0.750, 0.000], [0.500, 0.250, 0.000], [0.870, 0.124, 0.249], [0.379, 0.624, 0.249], [0.621, 0.376, 0.751], [0.130, 0.876, 0.751]], "energy_ev_per_fu": -30.9, "spacegroup": "Ibam (72)"}

{"formula": "PaCdNiIr", "functional": "PBE", "state": "relaxed", "lattice": [[-1.460, -0.242, -4.478], [-2.036, -3.939, -1.607], [-4.613, -0.040, -0.977]], "species": ["Cd", "Pa", "Ni", "Ir"], "frac_coords": [[0.750, 0.750, 0.750], [0.250, 0.250, 0.250], [0.500, 0.500, 0.500], [0.000, 0.000, 0.000]], "energy_ev_per_fu": -26.3, "spacegroup": "F-43m (216)"}

{"formula": "CdSiAs3", "functional": "PBE", "state": "relaxed", "lattice": [[-2.946, 1.441, 3.929], [-2.380, -4.529, -0.124], [3.442, -1.898, 3.277]], "species": ["As", "As", "As", "Si", "Cd"], "frac_coords": [[0.000, 0.500, 0.000], [0.000, 0.000, 0.500], [0.500, 0.000, 0.000], [0.500, 0.500, 0.500], [0.000, 0.000, 0.000]], "e_form_raw_ev_per_fu": 6.19, "e_above_lowest_polymorph_ev_per_atom": 0.653, "spacegroup": "Pm-3m (221)"}

{"formula": "Zr4Sc3Tl", "functional": "PBE", "state": "relaxed", "lattice": [[-1.994, -2.441, -0.324], [3.853, -2.840, -2.309], [3.675, -2.407, 11.010]], "species": ["Sc", "Sc", "Sc", "Tl", "Zr", "Zr", "Zr", "Zr"], "frac_coords": [[0.000, 0.500, 0.000], [0.155, 0.711, 0.310], [0.845, 0.289, 0.690], [0.500, 0.000, 0.000], [0.716, 0.223, 0.431], [0.284, 0.777, 0.569], [0.105, 0.193, 0.211], [0.895, 0.807, 0.789]], "energy_ev_per_fu": -54.1, "spacegroup": "C2/m (12)"}

{"formula": "SrMgCl2", "functional": "PBE", "state": "relaxed", "lattice": [[3.605, 4.987, 7.529], [2.984, 1.398, 9.149], [6.320, 2.102, 7.085]], "species": ["Sr", "Mg", "Cl", "Cl"], "frac_coords": [[0.000, 0.000, 0.000], [0.500, 0.500, 0.500], [0.879, 0.879, 0.879], [0.121, 0.121, 0.121]], "e_form_raw_ev_per_fu": -4.79, "e_above_lowest_polymorph_ev_per_atom": 0.322, "spacegroup": "R-3m (166)"}

{"formula": "NaTmGeCl6", "functional": "PBE", "state": "relaxed", "lattice": [[6.823, 0.000, 0.000], [-3.411, 5.909, 0.000], [0.000, 0.000, 12.550]], "species": ["Na", "Na", "Tm", "Tm", "Ge", "Ge", "Cl", "Cl", "Cl", "Cl", "Cl", "Cl", "Cl", "Cl", "Cl", "Cl", "Cl", "Cl"], "frac_coords": [[0.000, 0.000, 0.000], [0.000, 0.000, 0.500], [0.667, 0.333, 0.250], [0.333, 0.667, 0.750], [0.333, 0.667, 0.250], [0.667, 0.333, 0.750], [0.650, 0.642, 0.133], [0.991, 0.350, 0.133], [0.350, 0.991, 0.633], [0.009, 0.650, 0.867], [0.358, 0.350, 0.367], [0.991, 0.642, 0.367], [0.642, 0.991, 0.867], [0.650, 0.009, 0.367], [0.009, 0.358, 0.633], [0.358, 0.009, 0.133], [0.642, 0.650, 0.633], [0.350, 0.358, 0.867]], "e_form_raw_ev_per_fu": -15.17, "spacegroup": "P-31c (163)"}

{"formula": "YTlRh2", "functional": "PBE", "state": "relaxed", "lattice": [[5.440, -0.049, -0.032], [3.623, 4.058, -0.032], [3.623, 1.603, 3.729]], "species": ["Rh", "Rh", "Tl", "Y"], "frac_coords": [[0.947, 0.947, 0.947], [0.296, 0.296, 0.296], [0.521, 0.521, 0.521], [0.735, 0.735, 0.735]], "energy_ev_per_fu": -24.9, "spacegroup": "R3m (160)"}

{"formula": "LaScC3", "functional": "PBE", "state": "relaxed", "lattice": [[-2.204, -3.236, 1.852], [2.439, 0.376, 3.560], [-2.820, 2.854, 1.631]], "species": ["Sc", "C", "C", "C", "La"], "frac_coords": [[0.500, 0.500, 0.500], [0.000, 0.500, 0.000], [0.000, 0.000, 0.500], [0.500, 0.000, 0.000], [0.000, 0.000, 0.000]], "e_above_lowest_polymorph_ev_per_atom": 1.032, "spacegroup": "Pm-3m (221)"}

{"formula": "Ba3Na3Au", "functional": "PBE", "state": "relaxed", "lattice": [[10.605, 0.000, 6.123], [3.535, 9.999, 6.123], [0.000, 0.000, 12.246]], "species": ["Ba", "Ba", "Ba", "Ba", "Ba", "Ba", "Ba", "Ba", "Ba", "Ba", "Ba", "Ba", "Na", "Na", "Na", "Na", "Na", "Na", "Na", "Na", "Na", "Na", "Na", "Na", "Au", "Au", "Au", "Au"], "frac_coords": [[0.055, 0.445, 0.055], [0.195, 0.195, 0.805], [0.805, 0.805, 0.195], [0.805, 0.195, 0.805], [0.805, 0.195, 0.195], [0.195, 0.805, 0.805], [0.445, 0.055, 0.055], [0.055, 0.055, 0.445], [0.445, 0.445, 0.055], [0.055, 0.445, 0.445], [0.195, 0.805, 0.195], [0.445, 0.055, 0.445], [0.828, 0.828, 0.828], [0.422, 0.422, 0.735], [0.422, 0.735, 0.422], [0.735, 0.422, 0.422], [0.828, 0.515, 0.828], [0.515, 0.828, 0.828], [0.828, 0.828, 0.515], [0.422, 0.422, 0.422], [0.625, 0.625, 0.625], [0.625, 0.625, 0.125], [0.625, 0.125, 0.625], [0.125, 0.625, 0.625], [0.125, 0.125, 0.125], [0.125, 0.125, 0.625], [0.125, 0.625, 0.125], [0.625, 0.125, 0.125]], "energy_ev_per_fu": -14.8, "spacegroup": "Fd-3m (227)"}

{"formula": "KAgBr2", "functional": "PBE", "state": "relaxed", "lattice": [[-1.850, -0.862, -4.003], [-3.529, -2.779, 0.128], [-5.644, 4.646, -0.138]], "species": ["K", "Br", "Br", "Ag"], "frac_coords": [[0.250, 0.250, 0.250], [0.967, 0.967, 0.976], [0.533, 0.533, 0.524], [0.750, 0.750, 0.750]], "e_form_raw_ev_per_fu": -4.02, "spacegroup": "C2/m (12)"}

{"formula": "SrTcPb", "functional": "PBE", "state": "relaxed", "lattice": [[-1.728, 1.629, -4.102], [0.837, -4.634, 0.546], [-3.995, -0.549, 1.465]], "species": ["Pb", "Sr", "Tc"], "frac_coords": [[0.000, 0.000, 0.834], [0.667, 0.333, 0.333], [0.333, 0.667, 0.833]], "e_above_lowest_polymorph_ev_per_atom": 0.049, "spacegroup": "P-6m2 (187)"}

{"formula": "LiGe", "functional": "PBE", "state": "relaxed", "lattice": [[-0.727, 9.882, -6.803], [-5.070, 6.607, -8.666], [1.156, -7.037, 9.676]], "species": ["Ge", "Ge", "Ge", "Ge", "Ge", "Ge", "Li", "Li", "Li", "Li", "Li", "Li"], "frac_coords": [[0.250, 0.750, 0.500], [0.500, 0.500, 0.000], [0.422, 0.922, 0.500], [0.672, 0.672, 0.000], [0.328, 0.328, 0.000], [0.078, 0.578, 0.500], [0.000, 0.000, 0.000], [0.750, 0.250, 0.500], [0.587, 0.087, 0.500], [0.837, 0.837, 0.000], [0.163, 0.163, 0.000], [0.913, 0.413, 0.500]], "energy_ev_per_fu": -7.1, "spacegroup": "I4_1/amd (141)"}

{"formula": "NaSb2Ir2", "functional": "PBE", "state": "relaxed", "lattice": [[-1.152, 3.552, -1.894], [1.493, -1.452, -3.632], [-5.869, -1.655, -4.163]], "species": ["Sb", "Sb", "Ir", "Ir", "Na"], "frac_coords": [[0.367, 0.367, 0.267], [0.633, 0.633, 0.733], [0.750, 0.250, 0.500], [0.250, 0.750, 0.500], [0.000, 0.000, 0.000]], "e_form_raw_ev_per_fu": -0.98, "e_above_lowest_polymorph_ev_per_atom": 0.000, "spacegroup": "I4/mmm (139)"}

{"formula": "Mg5CdGa", "functional": "PBE", "state": "relaxed", "lattice": [[4.536, 0.000, 0.000], [0.000, 4.536, 0.000], [0.000, 0.000, 7.680]], "species": ["Mg", "Mg", "Mg", "Mg", "Mg", "Cd", "Ga"], "frac_coords": [[0.500, 0.500, 0.000], [0.500, 0.000, 0.291], [0.000, 0.500, 0.291], [0.500, 0.000, 0.709], [0.000, 0.500, 0.709], [0.000, 0.000, 0.000], [0.000, 0.000, 0.500]], "e_above_lowest_polymorph_ev_per_atom": 0.000, "spacegroup": "P4/mmm (123)"}

{"formula": "AlGeSN2", "functional": "PBE", "state": "relaxed", "lattice": [[-0.697, -2.431, 2.549], [-0.676, -5.031, -4.984], [3.506, -0.731, 0.262]], "species": ["Ge", "N", "N", "S", "Al"], "frac_coords": [[0.000, 0.000, 0.000], [0.000, 0.000, 0.500], [0.500, 0.000, 0.000], [0.500, 0.500, 0.500], [0.000, 0.500, 0.000]], "e_form_raw_ev_per_fu": 4.80, "e_above_lowest_polymorph_ev_per_atom": 0.339, "spacegroup": "P4/mmm (123)"}

{"formula": "Ac14LaDy", "functional": "PBE", "state": "relaxed", "lattice": [[7.825, 1.049, 0.000], [-1.051, 7.825, 0.000], [0.000, 0.000, 11.252]], "species": ["Ac", "Ac", "Ac", "Ac", "Ac", "Ac", "Ac", "Ac", "Ac", "Ac", "Ac", "Ac", "Ac", "Ac", "La", "Dy"], "frac_coords": [[0.375, 0.625, 0.500], [0.875, 0.125, 0.500], [0.874, 0.624, 0.000], [0.876, 0.626, 0.500], [0.376, 0.126, 0.000], [0.374, 0.124, 0.500], [0.626, 0.876, 0.756], [0.626, 0.876, 0.244], [0.124, 0.374, 0.756], [0.124, 0.374, 0.244], [0.124, 0.876, 0.757], [0.124, 0.876, 0.243], [0.626, 0.374, 0.754], [0.626, 0.374, 0.246], [0.375, 0.625, 0.000], [0.875, 0.125, 0.000]], "energy_ev_per_fu": -66.7, "spacegroup": "Amm2 (38)"}